1.
# Li4N (GGA-PBE, relaxed)
data_Li4N
_symmetry_space_group_name_H-M 'P m -3 m'
_symmetry_Int_Tables_number 221
_symmetry_space_group_name_Hall '-P 4 2 3'
_cell_length_a 4.0316
_cell_length_b 4.0316
_cell_length_c 4.0316
_cell_angle_alpha 90.00
_cell_angle_beta 90.00
_cell_angle_gamma 90.00
loop_
_atom_site_label
_atom_site_fract_x
_atom_site_fract_y
_atom_site_fract_z
Li1 0.0000 0.0000 0.0000
Li2 0.0000 0.5000 0.5000
N1 0.5000 0.5000 0.5000
# - energy above the most stable polymorph in this dataset (eV/atom) = 0.125
# - M_tot (μB/f.u.) = 0.00
# - E (eV for the cell shown) = -16.59

2.
# NaAcZnAs (GGA-PBE, relaxed)
data_NaAcZnAs
_symmetry_space_group_name_H-M 'F -4 3 m'
_symmetry_Int_Tables_number 216
_symmetry_space_group_name_Hall 'F -4 2 3'
_cell_length_a 7.4920
_cell_length_b 7.4920
_cell_length_c 7.4920
_cell_angle_alpha 90.00
_cell_angle_beta 90.00
_cell_angle_gamma 90.00
loop_
_atom_site_label
_atom_site_fract_x
_atom_site_fract_y
_atom_site_fract_z
Na1 0.0000 0.0000 0.0000
Ac1 0.0000 0.0000 0.5000
Zn1 0.2500 0.2500 0.2500
As1 0.2500 0.2500 0.7500
# - energy of formation from the pure elements (eV per formula unit) = -1.82
# - M_tot (μB/f.u.) = 0.00
# - E (eV for the cell shown) = -52.67

3.
# Pm2IO6 (GGA-PBE, relaxed)
data_Pm2IO6
_symmetry_space_group_name_H-M 'P 1 21/c 1'
_symmetry_Int_Tables_number 14
_cell_length_a 5.7014
_cell_length_b 5.9449
_cell_length_c 9.6248
_cell_angle_alpha 90.00
_cell_angle_beta 119.54
_cell_angle_gamma 90.00
loop_
_symmetry_equiv_pos_as_xyz
'x,y,z'
'-x,-y,-z'
'-x,y+1/2,-z+1/2'
'x,-y+1/2,z+1/2'
loop_
_atom_site_label
_atom_site_fract_x
_atom_site_fract_y
_atom_site_fract_z
Pm1 0.1934 0.0709 0.2355
I1 0.5000 0.0000 0.0000
O1 0.1700 0.1811 0.9506
O2 0.2397 0.7402 0.8917
O3 0.4612 0.1019 0.7932
# - M_tot (μB/f.u.) = 0.00
# - E (eV for the cell shown) = -117.92